Entry from Alexandria: an optimized crystal structure of PaSiTc (PBE).

Size of the total moment: 0.0 μB/f.u.
E_form (uncorrected): -669 meV per atom
Energy relative to the lowest polymorph listed for this composition: 0.0 meV per atom
Electronic total energy: -109.16 eV for the cell shown
Crystal system: orthorhombic

abc: 4.360 6.817 7.282
angles: 90.00 90.00 90.00
Sites, in units of the cell vectors:
Pa: 0.250 0.830 0.482
Pa: 0.750 0.170 0.518
Pa: 0.750 0.330 0.018
Pa: 0.250 0.670 0.982
Si: 0.250 0.112 0.802
Si: 0.750 0.888 0.198
Si: 0.750 0.612 0.698
Si: 0.250 0.388 0.302
Tc: 0.250 0.438 0.642
Tc: 0.750 0.562 0.358
Tc: 0.250 0.062 0.142
Tc: 0.750 0.938 0.858

Entry from Alexandria: an optimized crystal structure of CaSmPdPb (PBE).

Size of the total moment: 0.0 μB/f.u.
DFT formation energy: -0.5934 eV/atom
Electronic total energy: -18.00 eV for the cell shown
Crystal system: cubic

abc: 5.281 5.281 5.281
angles: 60.00 60.00 60.00
Sites, in units of the cell vectors:
Pb: 0.500 0.500 0.500
Ca: 0.750 0.750 0.750
Pd: 0.000 0.000 0.000
Sm: 0.250 0.250 0.250

Entry from Alexandria: an optimized crystal structure of Ta2OsW (PBE).

Size of the total moment: 0.0 μB/f.u.
DFT formation energy: 0.0282 eV/atom
Energy relative to the lowest polymorph listed for this composition: 326.8 meV per atom
Electronic total energy: -47.78 eV for the cell shown
Crystal system: orthorhombic

abc: 2.811 2.811 8.989
angles: 90.00 90.00 109.97
Sites, in units of the cell vectors:
Ta: 0.500 0.500 0.254
Ta: 0.000 0.000 0.989
W: 0.000 0.000 0.509
Os: 0.500 0.500 0.748

Entry from Alexandria: an optimized crystal structure of MgRhCl (PBE).

Size of the total moment: 0.0 μB/f.u.
E_form (uncorrected): -663 meV per atom
Energy relative to the lowest polymorph listed for this composition: 46.8 meV per atom
Electronic total energy: -25.56 eV for the cell shown
Crystal system: orthorhombic

abc: 3.805 3.890 8.948
angles: 102.57 90.00 90.00
Sites, in units of the cell vectors:
Rh: 0.687 0.394 0.845
Rh: 0.187 0.289 0.636
Cl: 0.187 0.498 0.053
Cl: 0.687 0.185 0.429
Mg: 0.687 0.776 0.610
Mg: 0.187 0.907 0.871

Entry from Alexandria: an optimized crystal structure of ThZn2Cu4Si (PBE).

Size of the total moment: 0.0 μB/f.u.
E_form (uncorrected): -117 meV per atom
Electronic total energy: -32.71 eV for the cell shown
Crystal system: trigonal

abc: 4.142 4.142 8.937
angles: 76.60 76.60 60.00
Sites, in units of the cell vectors:
Si: 0.500 0.500 0.500
Cu: 0.865 0.865 0.404
Cu: 0.592 0.592 0.223
Cu: 0.135 0.135 0.596
Cu: 0.408 0.408 0.777
Zn: 0.245 0.245 0.265
Zn: 0.755 0.755 0.735
Th: 0.000 0.000 0.000

Entry from Alexandria: an optimized crystal structure of DyTl2F8 (PBE).

Size of the total moment: 0.0 μB/f.u.
E_form (uncorrected): -2576 meV per atom
Energy relative to the lowest polymorph listed for this composition: 0.0 meV per atom
Electronic total energy: -52.65 eV for the cell shown
Crystal system: monoclinic

abc: 4.631 6.350 6.350
angles: 73.43 103.38 103.38
Sites, in units of the cell vectors:
F: 0.761 0.650 0.057
F: 0.239 0.350 0.943
F: 0.792 0.585 0.585
F: 0.761 0.057 0.650
F: 0.701 0.130 0.130
F: 0.208 0.415 0.415
F: 0.239 0.943 0.350
F: 0.299 0.870 0.870
Tl: 0.355 0.659 0.659
Tl: 0.645 0.341 0.341
Dy: 0.000 0.000 0.000

Entry from Alexandria: an optimized crystal structure of YThGa2 (PBE).

Size of the total moment: 0.0 μB/f.u.
DFT formation energy: -0.5055 eV/atom
Energy relative to the lowest polymorph listed for this composition: 80.7 meV per atom
Electronic total energy: -21.96 eV for the cell shown
Crystal system: tetragonal

abc: 3.452 3.452 8.044
angles: 90.00 90.00 90.00
Sites, in units of the cell vectors:
Th: 0.500 0.500 0.500
Ga: 0.000 0.000 0.240
Ga: 0.000 0.000 0.760
Y: 0.500 0.500 0.000

Entry from Alexandria: an optimized crystal structure of Ba2Ca6Mg (PBE).

Size of the total moment: 0.0 μB/f.u.
DFT formation energy: 0.0507 eV/atom
Electronic total energy: -16.99 eV for the cell shown
Crystal system: monoclinic

abc: 4.098 11.021 11.021
angles: 125.87 85.33 85.33
Sites, in units of the cell vectors:
Ca: 0.340 0.315 0.315
Ca: 0.174 0.490 0.824
Ca: 0.660 0.685 0.685
Ca: 0.174 0.824 0.490
Ca: 0.826 0.510 0.176
Ca: 0.826 0.176 0.510
Mg: 0.000 0.000 0.000
Ba: 0.500 0.847 0.153
Ba: 0.500 0.153 0.847

Entry from Alexandria: an optimized crystal structure of ReAgAs2 (PBE).

Size of the total moment: 0.0 μB/f.u.
DFT formation energy: 0.4249 eV/atom
Energy relative to the lowest polymorph listed for this composition: 274.1 meV per atom
Electronic total energy: -22.90 eV for the cell shown
Crystal system: tetragonal

abc: 2.976 2.976 8.195
angles: 90.00 90.00 90.00
Sites, in units of the cell vectors:
As: 0.000 0.000 0.978
As: 0.500 0.500 0.307
Ag: 0.500 0.500 0.734
Re: 0.000 0.000 0.481

Entry from Alexandria: an optimized crystal structure of Na3PbS4O12 (PBE).

Size of the total moment: 0.0 μB/f.u.
E_form (uncorrected): -1014 meV per atom
Electronic total energy: -103.95 eV for the cell shown
Crystal system: trigonal

abc: 6.952 6.952 6.952
angles: 104.69 104.69 104.69
Sites, in units of the cell vectors:
O: 0.220 0.363 0.000
O: 0.363 0.000 0.220
O: 0.369 0.631 0.500
O: 0.637 0.780 0.000
O: 0.631 0.500 0.369
O: 0.000 0.220 0.363
O: 0.947 0.500 0.053
O: 0.780 0.000 0.637
O: 0.053 0.947 0.500
O: 0.000 0.637 0.780
O: 0.500 0.369 0.631
O: 0.500 0.053 0.947
S: 0.500 0.500 0.500
S: 0.500 0.916 0.084
S: 0.084 0.500 0.916
S: 0.916 0.084 0.500
Na: 0.000 0.571 0.429
Na: 0.571 0.429 0.000
Na: 0.429 0.000 0.571
Pb: 0.000 0.000 0.000

Entry from Alexandria: an optimized crystal structure of Li6Tl2Hg (PBE).

Size of the total moment: 0.0 μB/f.u.
DFT formation energy: -0.2276 eV/atom
Energy relative to the lowest polymorph listed for this composition: 0.0 meV per atom
Electronic total energy: -18.57 eV for the cell shown
Crystal system: hexagonal

abc: 3.234 7.992 7.993
angles: 120.00 90.00 90.00
Sites, in units of the cell vectors:
Li: 0.500 0.372 0.372
Li: 0.500 0.000 0.628
Li: 0.000 0.709 0.709
Li: 0.500 0.628 0.000
Li: 0.000 0.000 0.291
Li: 0.000 0.291 0.000
Hg: 0.500 0.000 0.000
Tl: 0.000 0.333 0.667
Tl: 0.000 0.667 0.333

Entry from Alexandria: an optimized crystal structure of Ba2PbCl (PBE).

Size of the total moment: 0.0 μB/f.u.
E_form (uncorrected): -1103 meV per atom
Energy relative to the lowest polymorph listed for this composition: 124.5 meV per atom
Electronic total energy: -13.81 eV for the cell shown
Crystal system: orthorhombic

abc: 9.207 9.207 9.207
angles: 153.58 151.78 39.04
Sites, in units of the cell vectors:
Pb: 0.304 0.804 0.500
Cl: 0.541 0.541 0.000
Ba: 0.699 0.199 0.500
Ba: 0.956 0.956 0.000

Entry from Alexandria: an optimized crystal structure of Ac3Sn3Ge2 (PBE).

Size of the total moment: 0.0 μB/f.u.
DFT formation energy: -0.5179 eV/atom
Energy relative to the lowest polymorph listed for this composition: 69.3 meV per atom
Electronic total energy: -75.42 eV for the cell shown
Crystal system: orthorhombic

abc: 4.854 6.596 17.113
angles: 90.00 90.00 111.59
Sites, in units of the cell vectors:
Sn: 0.921 0.842 0.078
Sn: 0.293 0.586 0.750
Sn: 0.079 0.158 0.922
Sn: 0.707 0.414 0.250
Sn: 0.079 0.158 0.578
Sn: 0.921 0.842 0.422
Ac: 0.642 0.283 0.441
Ac: 0.642 0.283 0.059
Ac: 0.583 0.166 0.750
Ac: 0.358 0.717 0.559
Ac: 0.358 0.717 0.941
Ac: 0.417 0.834 0.250
Ge: 0.107 0.213 0.175
Ge: 0.893 0.787 0.675
Ge: 0.893 0.787 0.825
Ge: 0.107 0.213 0.325

Entry from Alexandria: an optimized crystal structure of KNa2Hg2 (PBE).

Size of the total moment: 0.0 μB/f.u.
DFT formation energy: -0.1809 eV/atom
Energy relative to the lowest polymorph listed for this composition: 12.6 meV per atom
Electronic total energy: -5.24 eV for the cell shown
Crystal system: monoclinic

abc: 4.776 6.204 6.758
angles: 103.84 110.69 90.00
Sites, in units of the cell vectors:
K: 0.000 0.000 0.000
Na: 0.650 0.576 0.300
Na: 0.350 0.424 0.700
Hg: 0.720 0.125 0.440
Hg: 0.280 0.875 0.560

Entry from Alexandria: an optimized crystal structure of Cr2SiRu (PBE).

Size of the total moment: 0.0 μB/f.u.
E_form (uncorrected): -67 meV per atom
Electronic total energy: -34.21 eV for the cell shown
Crystal system: orthorhombic

abc: 4.547 4.547 2.697
angles: 90.00 90.00 116.11
Sites, in units of the cell vectors:
Ru: 0.500 0.000 0.500
Cr: 0.000 0.000 0.000
Cr: 0.500 0.500 0.000
Si: 0.000 0.500 0.500